# 1
Density functional theory data (PBE) for a relaxed structure of Ga2ReAg.

Computed properties:
Excess energy over the best structure of this formula in the dataset ... 0 meV per atom
Symmetry ... Fm-3m (225)
Energy of formation ... 0.324 eV per atom
Magnetic moment ... 0.0 μB/f.u.

abc: 4.4510 4.4510 4.4510
angles: 60.00 60.00 60.00
Closest atoms and distances in Å follow each position.
Fractional positions:
Ag  0.0000  0.0000  0.0000  8 Ga 2.73
Ga  0.2500  0.2500  0.2500  4 Re 2.73, 4 Ag 2.73
Ga  0.7500  0.7500  0.7500  4 Re 2.73, 4 Ag 2.73
Re  0.5000  0.5000  0.5000  8 Ga 2.73

=====

# 2
Density functional theory data (PBE) for a relaxed structure of Ta3TlZn.

Computed properties:
Excess energy over the best structure of this formula in the dataset ... 0 meV per atom
Symmetry ... Pm-3m (221)
Energy of formation ... 1.224 eV per atom
Magnetic moment ... 0.0 μB/f.u.

abc: 4.7224 4.7224 4.7224
angles: 90.00 90.00 90.00
Closest atoms and distances in Å follow each position.
Fractional positions:
Ta  0.5000  0.0000  0.0000  2 Zn 2.36
Ta  0.0000  0.5000  0.0000  2 Zn 2.36
Ta  0.0000  0.0000  0.5000  2 Zn 2.36
Zn  0.0000  0.0000  0.0000  6 Ta 2.36
Tl  0.5000  0.5000  0.5000  12 Ta 3.34

=====

# 3
Density functional theory data (PBE) for a relaxed structure of Cu4RuRh.

Computed properties:
Symmetry ... F-43m (216)
Energy of formation ... 0.201 eV per atom
Magnetic moment ... 2.5 μB/f.u.

abc: 4.7658 4.7658 4.7658
angles: 60.00 60.00 60.00
Closest atoms and distances in Å follow each position.
Fractional positions:
Cu  0.3750  0.8750  0.3750  6 Cu 2.38
Cu  0.3750  0.3750  0.3750  6 Cu 2.38
Cu  0.8750  0.3750  0.3750  6 Cu 2.38
Cu  0.3750  0.3750  0.8750  6 Cu 2.38
Ru  0.0000  0.0000  0.0000  12 Cu 2.79, 4 Rh 2.92
Rh  0.7500  0.7500  0.7500  12 Cu 2.79, 4 Ru 2.92

=====

# 4
Density functional theory data (PBE) for a relaxed structure of DyHfNiPd.

Computed properties:
Symmetry ... F-43m (216)
Energy of formation ... -0.493 eV per atom
Magnetic moment ... 0.0 μB/f.u.

abc: 4.7398 4.7398 4.7398
angles: 60.00 60.00 60.00
Closest atoms and distances in Å follow each position.
Fractional positions:
Hf  0.0000  0.0000  0.0000  4 Pd 2.90, 4 Ni 2.90
Pd  0.2500  0.2500  0.2500  4 Dy 2.90, 4 Hf 2.90
Ni  0.7500  0.7500  0.7500  4 Dy 2.90, 4 Hf 2.90
Dy  0.5000  0.5000  0.5000  4 Ni 2.90, 4 Pd 2.90

=====

# 5
Density functional theory data (PBE) for a relaxed structure of Ag2MoRh.

Computed properties:
Excess energy over the best structure of this formula in the dataset ... 861 meV per atom
Symmetry ... I-42d (122)
Energy of formation ... 0.979 eV per atom
Magnetic moment ... 0.0 μB/f.u.

abc: 7.4439 7.4439 5.8618
angles: 50.58 50.58 90.00
Closest atoms and distances in Å follow each position.
Fractional positions:
Ag  0.6303  0.1250  0.2500  2 Ag 2.58, 2 Rh 2.68, 2 Mo 2.74
Ag  0.8750  0.8803  0.7500  2 Ag 2.58, 2 Rh 2.68, 2 Mo 2.74
Ag  0.1197  0.6250  0.2500  2 Ag 2.58, 2 Rh 2.68, 2 Mo 2.74
Ag  0.3750  0.3697  0.7500  2 Ag 2.58, 2 Rh 2.68, 2 Mo 2.74
Mo  0.2500  0.7500  0.5000  2 Rh 2.58, 4 Ag 2.74
Mo  0.5000  0.5000  0.0000  2 Rh 2.58, 4 Ag 2.74
Rh  0.7500  0.2500  0.5000  2 Mo 2.58, 4 Ag 2.68
Rh  0.0000  0.0000  0.0000  2 Mo 2.58, 4 Ag 2.68

=====

# 6
Density functional theory data (PBE) for a relaxed structure of K2AlOs.

Computed properties:
Symmetry ... Pmmm (47)
Energy of formation ... 1.041 eV per atom
Magnetic moment ... 0.0 μB/f.u.

abc: 2.7832 5.7463 5.6213
angles: 90.00 90.00 90.00
Closest atoms and distances in Å follow each position.
Fractional positions:
K  0.0000  0.0000  0.0053  4 K 2.75-2.87
K  0.0000  0.0000  0.4947  4 K 2.75-2.87
Al  0.5000  0.5000  0.7500  2 Al 2.78, 2 Os 2.81
Os  0.5000  0.5000  0.2500  2 Os 2.78, 2 Al 2.81

=====

# 7
Density functional theory data (PBE) for a relaxed structure of Ho2ZnPt4.

Computed properties:
Excess energy over the best structure of this formula in the dataset ... 0 meV per atom
Symmetry ... P-1 (2)
Energy of formation ... -0.890 eV per atom
Magnetic moment ... 0.0 μB/f.u.

abc: 4.9556 4.9426 9.1946
angles: 119.15 129.53 67.21
Closest atoms and distances in Å follow each position.
Fractional positions:
Pt  0.8250  0.9791  0.6553  3 Pt 2.63-2.78, 1 Zn 2.66, 2 Ho 2.90
Pt  0.5000  0.0000  0.0000  2 Zn 2.48, 4 Pt 2.74-2.77
Pt  0.0000  0.5000  0.0000  2 Zn 2.47, 2 Pt 2.74
Pt  0.1750  0.0209  0.3447  3 Pt 2.63-2.78, 1 Zn 2.66, 2 Ho 2.90
Zn  0.0000  0.0000  0.0000  6 Pt 2.47-2.66
Ho  0.2253  0.3725  0.7200  8 Pt 2.90-3.18
Ho  0.7747  0.6275  0.2800  8 Pt 2.90-3.18

=====

# 8
Density functional theory data (PBE) for a relaxed structure of P2RuPbO8.

Computed properties:
Symmetry ... C2/m (12)
ΔE_f (raw) ... -1.73 eV/atom
Magnetic moment ... 2.0 μB/f.u.

abc: 4.8605 4.8605 7.5752
angles: 87.44 87.44 65.71
Closest atoms and distances in Å follow each position.
Fractional positions:
O  0.7621  0.7621  0.0515  1 P 1.55
O  0.7174  0.2317  0.8045  1 P 1.58
O  0.2826  0.7683  0.1955  1 P 1.58
O  0.2379  0.2379  0.9485  1 P 1.55
O  0.7683  0.2826  0.1955  1 P 1.58
O  0.2991  0.2991  0.6036  1 P 1.52
O  0.2317  0.7174  0.8045  1 P 1.58
O  0.7009  0.7009  0.3964  1 P 1.52
Ru  0.0000  0.0000  0.0000  6 O 1.96-2.03
P  0.6363  0.6363  0.2118  4 O 1.52-1.58
P  0.3637  0.3637  0.7882  4 O 1.52-1.58
Pb  0.0000  0.0000  0.5000  6 O 2.60-2.67